1.
{
  "formula": "Na2TlPt",
  "functional": "GGA-PBE",
  "state": "optimized geometry",
  "energy_ev_per_atom": -2.933,
  "delta_e_f_ev_per_fu": -0.69,
  "lattice": [[-4.050, -1.713, -1.916], [-0.600, -5.935, 0.571], [-5.160, -1.085, 5.875]],
  "species": ["Na", "Na", "Na", "Na", "Tl", "Tl", "Pt", "Pt"],
  "fractional_positions": [[0.221, 0.251, 0.306], [0.816, 0.841, 0.526], [0.422, 0.421, 0.735], [0.817, 0.345, 0.022], [0.129, 0.999, 0.743], [0.508, 0.673, 0.311], [0.054, 0.772, 0.119], [0.574, 0.914, 0.938]]
}

2.
{
  "formula": "HfCoHg",
  "functional": "GGA-PBE",
  "state": "optimized geometry",
  "energy_ev_per_atom": -5.898,
  "relative_energy_mev_per_atom": 10.8,
  "delta_e_f_ev_per_fu": -0.33,
  "lattice": [[3.348, 0.000, 0.000], [0.000, 3.348, 0.000], [-1.674, -1.674, 4.665]],
  "species": ["Co", "Hf", "Hg"],
  "fractional_positions": [[0.315, 0.315, 0.629], [0.691, 0.691, 0.382], [0.995, 0.995, 0.989]]
}

3.
{
  "formula": "NaSc2InHg",
  "functional": "GGA-PBE",
  "state": "optimized geometry",
  "energy_ev_per_atom": -3.025,
  "relative_energy_mev_per_atom": 76.2,
  "delta_e_f_ev_per_fu": 1.90,
  "lattice": [[5.430, 0.000, 0.000], [0.000, 5.401, 0.000], [0.000, 0.000, 5.430]],
  "species": ["Sc", "Sc", "Na", "Hg", "In"],
  "fractional_positions": [[0.000, 0.000, 0.500], [0.500, 0.000, 0.000], [0.500, 0.500, 0.500], [0.000, 0.000, 0.000], [0.000, 0.500, 0.000]]
}

4.
{
  "formula": "LaCdGaAu",
  "functional": "GGA-PBE",
  "state": "optimized geometry",
  "energy_ev_per_atom": -3.593,
  "delta_e_f_ev_per_fu": -2.22,
  "lattice": [[5.077, 0.000, 0.000], [2.538, 4.396, 0.000], [2.538, 1.465, 4.145]],
  "species": ["Cd", "Au", "Ga", "La"],
  "fractional_positions": [[0.750, 0.750, 0.750], [0.500, 0.500, 0.500], [0.000, 0.000, 0.000], [0.250, 0.250, 0.250]]
}

Please write out number 4 again, unchanged.
{
  "formula": "LaCdGaAu",
  "functional": "GGA-PBE",
  "state": "optimized geometry",
  "energy_ev_per_atom": -3.593,
  "delta_e_f_ev_per_fu": -2.22,
  "lattice": [[5.077, 0.000, 0.000], [2.538, 4.396, 0.000], [2.538, 1.465, 4.145]],
  "species": ["Cd", "Au", "Ga", "La"],
  "fractional_positions": [[0.750, 0.750, 0.750], [0.500, 0.500, 0.500], [0.000, 0.000, 0.000], [0.250, 0.250, 0.250]]
}